1.
A plane-wave DFT calculation with PBE was carried out for a geometry-optimized PmPr2Mg structure.

Results
ρ = 5.75 g/cm3
Energy relative to the lowest polymorph listed for this composition = 0.084 eV per atom
DOS at the Fermi energy = 5.95 states/eV/cell
ΔE_f = 0.17 eV per formula unit
Space group = No. 225

a = 5.691 Å, b = 5.691 Å, c = 5.691 Å
α = 60.00°, β = 60.00°, γ = 60.00°
Fractional coordinates of all 4 atoms:
1 Pm 0.000 0.000 0.000
2 Mg 0.500 0.500 0.500
3 Pr 0.250 0.250 0.250
4 Pr 0.750 0.750 0.750



2.
A plane-wave DFT calculation with PBE was carried out for a geometry-optimized Th4Ru3Pt structure.

Results
ρ = 12.26 g/cm3
DOS at the Fermi energy = 5.19 states/eV/cell
ΔE_f = -4.84 eV per formula unit
Space group = No. 65

a = 4.087 Å, b = 7.075 Å, c = 7.075 Å
α = 70.79°, β = 89.99°, γ = 89.99°
Fractional coordinates of all 8 atoms:
1 Th 0.000 0.241 0.260
2 Th 0.500 0.755 0.255
3 Th 0.000 0.760 0.740
4 Th 0.500 0.245 0.745
5 Ru 0.000 0.500 0.500
6 Ru 0.500 0.000 0.500
7 Ru 0.000 0.000 0.000
8 Pt 0.500 0.500 0.000



3.
A plane-wave DFT calculation with PBE was carried out for a geometry-optimized Sr2Sb4RhAu3 structure.

Results
Uncorrected formation energy = -5.40 eV/f.u.
ρ = 8.80 g/cm3
DOS at the Fermi energy = 4.55 states/eV/cell
Space group = No. 115

a = 4.770 Å, b = 4.770 Å, c = 11.242 Å
α = 90.00°, β = 90.00°, γ = 90.00°
Fractional coordinates of all 10 atoms:
1 Sb 0.500 0.500 0.000
2 Sb 0.000 0.500 0.381
3 Sb 0.000 0.000 0.000
4 Sb 0.500 0.000 0.619
5 Au 0.000 0.000 0.500
6 Au 0.000 0.500 0.143
7 Au 0.500 0.000 0.857
8 Rh 0.500 0.500 0.500
9 Sr 0.500 0.000 0.264
10 Sr 0.000 0.500 0.736



4.
A plane-wave DFT calculation with PBE was carried out for a geometry-optimized K2TaTe5 structure.

Results
Uncorrected formation energy = -3.99 eV/f.u.
ρ = 4.27 g/cm3
DOS at the Fermi energy = 5.00 states/eV/cell
Space group = No. 8

a = 6.332 Å, b = 8.624 Å, c = 8.950 Å
α = 127.18°, β = 110.69°, γ = 90.02°
Fractional coordinates of all 8 atoms:
1 Te 0.313 0.867 0.108
2 Te 0.232 0.217 0.943
3 Te 0.751 0.618 0.503
4 Te 0.796 0.868 0.109
5 Te 0.712 0.218 0.944
6 Ta 0.949 0.937 0.897
7 K 0.815 0.311 0.630
8 K 0.209 0.741 0.420



5.
A plane-wave DFT calculation with PBE was carried out for a geometry-optimized RbRh3W structure.

Results
ρ = 9.40 g/cm3
Energy relative to the lowest polymorph listed for this composition = 2.060 eV per atom
DOS at the Fermi energy = 12.74 states/eV/cell
ΔE_f = 14.55 eV per formula unit
Space group = No. 221

a = 4.673 Å, b = 4.673 Å, c = 4.673 Å
α = 90.00°, β = 90.00°, γ = 90.00°
Fractional coordinates of all 5 atoms:
1 W 0.500 0.500 0.500
2 Rh 0.000 0.000 0.500
3 Rh 0.000 0.500 0.000
4 Rh 0.500 0.000 0.000
5 Rb 0.000 0.000 0.000



6.
A plane-wave DFT calculation with PBE was carried out for a geometry-optimized Dy6BiTe3Ir2 structure.

Results
Uncorrected formation energy = -12.85 eV/f.u.
ρ = 9.55 g/cm3
DOS at the Fermi energy = 4.21 states/eV/cell
Space group = No. 12

a = 4.236 Å, b = 8.761 Å, c = 9.725 Å
α = 105.31°, β = 102.58°, γ = 90.00°
Fractional coordinates of all 12 atoms:
1 Dy 0.323 0.435 0.646
2 Dy 0.673 0.131 0.345
3 Dy 0.677 0.565 0.354
4 Dy 0.327 0.869 0.655
5 Dy 0.980 0.739 0.960
6 Dy 0.020 0.261 0.040
7 Ir 0.829 0.656 0.658
8 Ir 0.171 0.344 0.342
9 Bi 0.500 0.000 0.000
10 Te 0.159 0.842 0.318
11 Te 0.841 0.158 0.682
12 Te 0.500 0.500 0.000



7.
A plane-wave DFT calculation with PBE was carried out for a geometry-optimized ZnW2Cl structure.

Results
Uncorrected formation energy = 1.33 eV/f.u.
ρ = 10.80 g/cm3
Energy relative to the lowest polymorph listed for this composition = 0.026 eV per atom
DOS at the Fermi energy = 1.80 states/eV/cell
Space group = No. 35

a = 2.874 Å, b = 2.874 Å, c = 9.456 Å
α = 90.00°, β = 90.00°, γ = 112.71°
Fractional coordinates of all 4 atoms:
1 Cl 0.500 0.500 0.796
2 W 0.500 0.500 0.231
3 W 0.000 0.000 0.011
4 Zn 0.000 0.000 0.462



8.
A plane-wave DFT calculation with PBE was carried out for a geometry-optimized Sm3TlPd2 structure.

Results
ρ = 9.63 g/cm3
DOS at the Fermi energy = 4.65 states/eV/cell
ΔE_f = -3.86 eV per formula unit
Space group = No. 123

a = 3.635 Å, b = 3.635 Å, c = 11.335 Å
α = 90.00°, β = 90.00°, γ = 90.00°
Fractional coordinates of all 6 atoms:
1 Sm 0.000 0.000 0.310
2 Sm 0.000 0.000 0.000
3 Sm 0.000 0.000 0.690
4 Pd 0.500 0.500 0.157
5 Pd 0.500 0.500 0.843
6 Tl 0.500 0.500 0.500